Record 1
Here is Mg2HIrPd after structural relaxation from Alexandria. Energies are from PBE. Values from VASP.

Calculated values
* V: 66.4 Å³ per cell
* D(E_F): 1.20 states/eV/cell
* crystal system: tetragonal
* excess energy over the best structure of this formula in the dataset: 0.00 eV/f.u.
* theoretical density: 8714 kg/m³

Cell and atoms, written as Quantum ESPRESSO input:
```
&SYSTEM
  ibrav = 0, nat = 5, ntyp = 4
/
ATOMIC_SPECIES
H 1.01 H.upf
Mg 24.30 Mg.upf
Ir 192.22 Ir.upf
Pd 106.42 Pd.upf
CELL_PARAMETERS angstrom
4.358 0.000 0.000
0.000 4.358 0.000
0.000 0.000 3.494
ATOMIC_POSITIONS crystal
H 0.000 0.000 0.000
Mg 0.000 0.500 0.000
Mg 0.500 0.000 0.000
Ir 0.000 0.000 0.500
Pd 0.500 0.500 0.500
```


Record 2
Here is Mg2HIrPd after structural relaxation from Alexandria. Energies are from PBE. Values from VASP.

Calculated values
* V: 65.7 Å³ per cell
* D(E_F): 1.63 states/eV/cell
* crystal system: tetragonal
* excess energy over the best structure of this formula in the dataset: 0.46 eV/f.u.
* theoretical density: 8796 kg/m³

Cell and atoms, written as Quantum ESPRESSO input:
```
&SYSTEM
  ibrav = 0, nat = 5, ntyp = 4
/
ATOMIC_SPECIES
H 1.01 H.upf
Mg 24.30 Mg.upf
Ir 192.22 Ir.upf
Pd 106.42 Pd.upf
CELL_PARAMETERS angstrom
4.369 0.000 0.000
0.000 4.369 0.000
0.000 0.000 3.444
ATOMIC_POSITIONS crystal
H 0.000 0.000 0.000
Mg 0.000 0.500 0.000
Mg 0.500 0.000 0.000
Ir 0.500 0.500 0.500
Pd 0.000 0.000 0.500
```


Record 3
Here is PmMgH8Ir2 after structural relaxation from Alexandria. Energies are from PBE. Values from VASP.

Calculated values
* V: 106.3 Å³ per cell
* D(E_F): 1.84 states/eV/cell
* crystal system: trigonal
* raw total energy: -4.4707 eV per atom
* theoretical density: 8774 kg/m³

Cell and atoms, written as Quantum ESPRESSO input:
```
&SYSTEM
  ibrav = 0, nat = 12, ntyp = 4
/
ATOMIC_SPECIES
Pm 145.00 Pm.upf
Mg 24.30 Mg.upf
H 1.01 H.upf
Ir 192.22 Ir.upf
CELL_PARAMETERS angstrom
4.729 0.000 0.000
2.364 4.095 0.000
2.364 1.365 5.490
ATOMIC_POSITIONS crystal
Pm 0.500 0.500 0.500
Mg 0.000 0.000 0.000
H 0.183 0.183 0.451
H 0.608 0.057 0.277
H 0.817 0.817 0.549
H 0.058 0.608 0.277
H 0.942 0.392 0.723
H 0.057 0.058 0.277
H 0.943 0.942 0.723
H 0.392 0.943 0.723
Ir 0.282 0.282 0.154
Ir 0.718 0.718 0.846
```


Record 4
Here is MgHIrPt2 after structural relaxation from Alexandria. Energies are from PBE. Values from VASP.

Calculated values
* V: 63.6 Å³ per cell
* D(E_F): 3.89 states/eV/cell
* crystal system: tetragonal
* excess energy over the best structure of this formula in the dataset: 0.26 eV/f.u.
* theoretical density: 15857 kg/m³

Cell and atoms, written as Quantum ESPRESSO input:
```
&SYSTEM
  ibrav = 0, nat = 5, ntyp = 4
/
ATOMIC_SPECIES
H 1.01 H.upf
Mg 24.30 Mg.upf
Ir 192.22 Ir.upf
Pt 195.08 Pt.upf
CELL_PARAMETERS angstrom
-2.647 2.432 -1.554
-1.734 -3.026 -1.782
-2.444 -0.547 3.308
ATOMIC_POSITIONS crystal
H 0.000 0.000 0.000
Mg 0.000 0.000 0.500
Ir 0.500 0.500 0.500
Pt 0.000 0.500 0.000
Pt 0.500 0.000 0.000
```


Record 5
Here is MgHIrPt2 after structural relaxation from Alexandria. Energies are from PBE. Values from VASP.

Calculated values
* V: 64.3 Å³ per cell
* D(E_F): 3.89 states/eV/cell
* crystal system: tetragonal
* excess energy over the best structure of this formula in the dataset: 0.00 eV/f.u.
* theoretical density: 15690 kg/m³

Cell and atoms, written as Quantum ESPRESSO input:
```
&SYSTEM
  ibrav = 0, nat = 5, ntyp = 4
/
ATOMIC_SPECIES
H 1.01 H.upf
Mg 24.30 Mg.upf
Ir 192.22 Ir.upf
Pt 195.08 Pt.upf
CELL_PARAMETERS angstrom
4.033 0.000 0.000
0.000 4.033 0.000
0.000 0.000 3.955
ATOMIC_POSITIONS crystal
H 0.000 0.000 0.000
Mg 0.500 0.500 0.500
Ir 0.000 0.000 0.500
Pt 0.000 0.500 0.000
Pt 0.500 0.000 0.000
```


Record 6
Here is PuMgH8Ir2 after structural relaxation from Alexandria. Energies are from PBE. Values from VASP.

Calculated values
* V: 112.6 Å³ per cell
* D(E_F): 12.90 states/eV/cell
* crystal system: trigonal
* raw total energy: -5.1496 eV per atom
* theoretical density: 9747 kg/m³

Cell and atoms, written as Quantum ESPRESSO input:
```
&SYSTEM
  ibrav = 0, nat = 12, ntyp = 4
/
ATOMIC_SPECIES
Pu 244.00 Pu.upf
Mg 24.30 Mg.upf
H 1.01 H.upf
Ir 192.22 Ir.upf
CELL_PARAMETERS angstrom
4.830 0.000 0.000
2.415 4.183 0.000
2.415 1.394 5.572
ATOMIC_POSITIONS crystal
Pu 0.500 0.500 0.500
Mg 0.000 0.000 0.000
H 0.193 0.193 0.420
H 0.592 0.351 0.157
H 0.807 0.807 0.580
H 0.899 0.592 0.157
H 0.101 0.408 0.843
H 0.351 0.899 0.157
H 0.649 0.101 0.843
H 0.408 0.649 0.843
Ir 0.294 0.294 0.117
Ir 0.706 0.706 0.883
```